Entry 1:
A geometry-optimized LaHfBO5 structure, computed with PBE.

a = 5.518 Å, b = 5.518 Å, c = 7.266 Å
α = 102.81°, β = 102.81°, γ = 106.45°
Atoms (fractional coordinates):
La  0.345  0.655  0.250
La  0.655  0.345  0.750
Hf  0.000  0.000  0.500
Hf  0.000  0.000  0.000
B  0.684  0.316  0.250
B  0.316  0.684  0.750
O  0.088  0.912  0.250
O  0.912  0.088  0.750
O  0.879  0.314  0.132
O  0.121  0.686  0.868
O  0.686  0.121  0.368
O  0.314  0.879  0.632
O  0.748  0.591  0.396
O  0.252  0.409  0.604
O  0.409  0.252  0.104
O  0.591  0.748  0.896

Calculated values
Symmetry: C2/c
Calculated total energy, eV per atom: -8.92
Uncorrected formation energy, meV per atom: -3122

Entry 2:
A geometry-optimized LaHfB2P structure, computed with PBE.

a = 4.272 Å, b = 4.771 Å, c = 4.272 Å
α = 90.00°, β = 90.00°, γ = 90.00°
Atoms (fractional coordinates):
P  0.000  0.000  0.000
B  0.000  0.000  0.500
B  0.500  0.000  0.000
Hf  0.000  0.500  0.000
La  0.500  0.500  0.500

Calculated values
Symmetry: P4/mmm
Calculated total energy, eV per atom: -5.88

Entry 3:
A geometry-optimized LaHfBPd2 structure, computed with PBE.

a = 4.444 Å, b = 4.613 Å, c = 4.444 Å
α = 90.00°, β = 90.00°, γ = 90.00°
Atoms (fractional coordinates):
B  0.000  0.000  0.000
Hf  0.000  0.500  0.000
Pd  0.000  0.000  0.500
Pd  0.500  0.000  0.000
La  0.500  0.500  0.500

Calculated values
Symmetry: P4/mmm
Calculated total energy, eV per atom: -6.64